16
Lattice="5.0805 0.0000 0.0000 0.0000 5.0805 0.0000 0.0000 0.0000 9.3149" Properties=species:S:1:pos:R:3 comment="PBE Re2CS, optimized geometry" formation_energy_uncorrected_mev_per_atom=580.6 de_polymorph_mev_per_atom=0.0 pbc="T T T"
Re 1.0484 1.2701 1.1644
Re 1.2701 3.5887 3.4931
Re 1.2701 4.0321 8.1505
Re 1.4918 1.2701 5.8218
Re 3.5887 3.8104 5.8218
Re 3.8104 1.0484 8.1505
Re 3.8104 1.4918 3.4931
Re 4.0321 3.8104 1.1644
C 0.0000 0.0000 0.0000
C 0.0000 2.5403 2.3287
C 2.5403 0.0000 6.9862
C 2.5403 2.5403 4.6575
S 0.0000 0.0000 4.6575
S 0.0000 2.5403 6.9862
S 2.5403 0.0000 2.3287
S 2.5403 2.5403 0.0000